1.
InSn2Au4: optimized geometry, GGA-PBE.

ΔE_f	0.207	eV/atom
density	9.8	g/cm³
energy above the lowest structure with this stoichiometry	0.322	eV per atom

The structure in extended XYZ format:
```
7
Lattice="5.305 0.000 0.000 0.000 5.305 0.000 2.652 2.652 6.883" Properties=species:S:1:pos:R:3 pbc="T T T"
Sn 2.652 2.652 1.528
Sn 5.305 5.305 5.355
Au 0.000 2.652 0.000
Au 5.305 5.305 2.701
Au 2.652 2.652 4.182
Au 2.652 0.000 0.000
In 0.000 0.000 0.000
```



2.
Cd3Ni7B2: optimized geometry, GGA-PBE.

ΔE_f	-0.128	eV/atom
density	8.6	g/cm³

The structure in extended XYZ format:
```
12
Lattice="-1.074 4.342 2.313 1.036 0.586 4.893 6.170 4.047 0.846" Properties=species:S:1:pos:R:3 pbc="T T T"
Cd 0.375 3.440 4.702
Cd 3.066 4.487 4.026
Cd 5.757 5.534 3.350
B 3.057 6.140 6.440
B 3.075 2.834 1.612
Ni 1.833 1.535 0.736
Ni 1.307 3.728 1.896
Ni 2.370 1.835 3.197
Ni 3.761 7.139 4.856
Ni 0.000 0.000 0.000
Ni 4.825 5.246 6.156
Ni 4.299 7.439 7.316
```



3.
Sr2GdCu2IrO8: optimized geometry, GGA-PBE.

formation energy without anion corrections	-1.767	eV/atom
density	7.3	g/cm³

The structure in extended XYZ format:
```
14
Lattice="-1.948 -3.248 -0.773 3.119 -1.450 -1.763 3.659 -4.643 10.291" Properties=species:S:1:pos:R:3 pbc="T T T"
O 5.341 -7.120 6.858
O 2.600 -3.642 -0.851
O 3.621 -7.793 4.383
O 2.368 -6.202 0.859
O 1.440 -6.260 3.507
O 2.808 -8.019 7.354
O 3.960 -5.366 3.015
O 0.067 -4.540 -0.355
Gd 0.582 -2.334 -1.260
Sr 1.701 -3.754 1.887
Sr 3.122 -5.557 5.884
Cu 1.688 -5.344 -1.065
Cu 4.306 -8.667 6.299
Ir 2.994 -6.995 2.623
```